Record 1
CeAl6S8 after structural relaxation, computed with PBE-GGA.

Results
The total magnetization is 0.3 μB/cell. Its uncorrected formation energy is -0.860 eV per atom.

abc: 6.710 6.710 6.710
angles: 93.68 93.68 93.68
Site moments in Bohr magnetons follow the coordinates.
Positions (direct):
S: 0.787 0.377 0.082  -0.02
S: 0.734 0.734 0.734  -0.02
S: 0.377 0.082 0.787  -0.02
S: 0.213 0.623 0.918  -0.02
S: 0.266 0.266 0.266  -0.02
S: 0.082 0.787 0.377  -0.02
S: 0.918 0.213 0.623  -0.02
S: 0.623 0.918 0.213  -0.02
Al: 0.746 0.663 0.387  -0.01
Al: 0.663 0.387 0.746  -0.01
Al: 0.254 0.337 0.613  -0.01
Al: 0.387 0.746 0.663  -0.01
Al: 0.337 0.613 0.254  -0.01
Al: 0.613 0.254 0.337  -0.01
Ce: 0.000 0.000 0.000  0.66

Record 2
Tb3Cr5Se12 after structural relaxation, computed with PBE-GGA.

Results
The total magnetization is 60.0 μB/cell. Its uncorrected formation energy is -0.879 eV per atom.

abc: 13.585 13.585 13.585
angles: 109.47 109.47 109.47
Site moments in Bohr magnetons follow the coordinates.
Positions (direct):
Se: 0.410 0.378 0.587  -0.11
Se: 0.968 0.378 0.291  -0.11
Se: 0.968 0.590 0.177  -0.11
Se: 0.587 0.878 0.410  -0.11
Se: 0.709 0.587 0.177  -0.11
Se: 0.791 0.468 0.378  -0.11
Se: 0.590 0.968 0.677  -0.11
Se: 0.323 0.532 0.410  -0.11
Se: 0.622 0.590 0.913  -0.11
Se: 0.410 0.032 0.323  -0.11
Se: 0.913 0.823 0.791  -0.11
Se: 0.532 0.209 0.122  -0.11
Se: 0.878 0.587 0.910  -0.11
Se: 0.532 0.323 0.910  -0.11
Se: 0.378 0.410 0.087  -0.11
Se: 0.677 0.209 0.587  -0.11
Se: 0.910 0.823 0.532  -0.11
Se: 0.913 0.090 0.622  -0.11
Se: 0.090 0.177 0.468  -0.11
Se: 0.413 0.291 0.323  -0.11
Se: 0.677 0.468 0.590  -0.11
Se: 0.032 0.622 0.709  -0.11
Se: 0.587 0.709 0.677  -0.11
Se: 0.291 0.878 0.968  -0.11
Se: 0.087 0.910 0.378  -0.11
Se: 0.090 0.913 0.122  -0.11
Se: 0.413 0.122 0.590  -0.11
Se: 0.291 0.413 0.823  -0.11
Se: 0.122 0.413 0.090  -0.11
Se: 0.087 0.177 0.209  -0.11
Se: 0.709 0.122 0.032  -0.11
Se: 0.823 0.910 0.032  -0.11
Se: 0.209 0.532 0.622  -0.11
Se: 0.209 0.677 0.087  -0.11
Se: 0.590 0.622 0.413  -0.11
Se: 0.823 0.913 0.291  -0.11
Se: 0.468 0.791 0.878  -0.11
Se: 0.468 0.677 0.090  -0.11
Se: 0.323 0.791 0.413  -0.11
Se: 0.032 0.410 0.823  -0.11
Se: 0.910 0.087 0.878  -0.11
Se: 0.878 0.291 0.468  -0.11
Se: 0.177 0.090 0.968  -0.11
Se: 0.122 0.709 0.532  -0.11
Se: 0.791 0.323 0.913  -0.11
Se: 0.177 0.087 0.709  -0.11
Se: 0.622 0.032 0.209  -0.11
Se: 0.378 0.968 0.791  -0.11
Tb: 0.250 0.625 0.875  0.09
Tb: 0.375 0.750 0.625  0.09
Tb: 0.625 0.375 0.750  0.09
Tb: 0.125 0.250 0.875  0.09
Tb: 0.875 0.750 0.125  0.09
Tb: 0.625 0.250 0.375  0.09
Tb: 0.125 0.875 0.750  0.09
Tb: 0.375 0.625 0.250  0.09
Tb: 0.750 0.875 0.625  0.09
Tb: 0.250 0.125 0.375  0.09
Tb: 0.875 0.125 0.250  0.09
Tb: 0.750 0.375 0.125  0.09
Cr: 0.125 0.375 0.250  2.87
Cr: 0.625 0.875 0.250  2.87
Cr: 0.500 0.500 0.500  3.15
Cr: 0.000 0.500 0.000  3.15
Cr: 0.000 0.000 0.500  3.15
Cr: 0.375 0.250 0.125  2.87
Cr: 0.750 0.625 0.375  2.87
Cr: 0.125 0.750 0.375  2.87
Cr: 0.750 0.125 0.875  2.87
Cr: 0.500 0.000 0.500  3.15
Cr: 0.000 0.500 0.500  3.15
Cr: 0.875 0.250 0.625  2.87
Cr: 0.000 0.000 0.000  3.15
Cr: 0.250 0.875 0.125  2.87
Cr: 0.875 0.625 0.750  2.87
Cr: 0.500 0.000 0.000  3.15
Cr: 0.625 0.750 0.875  2.87
Cr: 0.250 0.375 0.625  2.87
Cr: 0.500 0.500 0.000  3.15
Cr: 0.375 0.125 0.750  2.87

Record 3
ReHgMo3 after structural relaxation, computed with PBE-GGA.

Results
The value obtained for the energy above the most stable polymorph in this dataset is 146.5 kJ/mol of atoms. The total magnetization is 1.2 μB/cell. The energy of formation is 3102.3 meV/atom.

abc: 4.816 4.816 4.816
angles: 90.00 90.00 90.00
Site moments in Bohr magnetons follow the coordinates.
Positions (direct):
Mo: 0.000 0.000 0.500  -0.25
Mo: 0.500 0.000 0.000  -0.09
Mo: 0.000 0.500 0.000  -0.12
Hg: 0.000 0.000 0.000  0.00
Re: 0.500 0.500 0.500  1.45

Record 4
Ho2ScRh after structural relaxation, computed with PBE-GGA.

Results
The value obtained for the energy above the most stable polymorph in this dataset is 9.9 kJ/mol of atoms. The total magnetization is 1.0 μB/cell. The energy of formation is -393.5 meV/atom.

abc: 3.477 3.477 8.063
angles: 90.00 90.00 90.00
Site moments in Bohr magnetons follow the coordinates.
Positions (direct):
Rh: 0.500 0.500 0.000  0.07
Ho: 0.000 0.000 0.799  0.12
Ho: 0.000 0.000 0.201  0.12
Sc: 0.500 0.500 0.500  0.38

Record 5
Cs2PtCl5 after structural relaxation, computed with PBE-GGA.

Results
The total magnetization is 1.0 μB/cell. Its uncorrected formation energy is -1.237 eV per atom.

abc: 7.361 7.361 7.361
angles: 92.91 118.34 118.34
Site moments in Bohr magnetons follow the coordinates.
Positions (direct):
Cl: 0.438 0.211 0.211  0.02
Cl: 0.562 0.773 0.773  0.02
Cl: 0.000 0.773 0.211  0.02
Cl: 0.000 0.255 0.255  0.26
Cl: 0.000 0.211 0.773  0.02
Cs: 0.500 0.245 0.745  0.00
Cs: 0.500 0.745 0.245  0.00
Pt: 0.000 0.007 0.007  0.48

Record 6
LaCo3H10 after structural relaxation, computed with PBE-GGA.

Results
Its calculated total energy is -4.344 eV/atom. The total magnetization is 0.0 μB/cell.

abc: 6.361 6.361 6.361
angles: 60.00 60.00 60.00
Positions (direct):
H: 0.000 0.318 0.682
H: 0.400 0.799 0.400
H: 0.000 0.682 0.318
H: 0.000 0.000 0.318
H: 0.000 0.318 0.000
H: 0.682 0.318 0.000
H: 0.000 0.682 0.000
H: 0.318 0.000 0.682
H: 0.682 0.000 0.318
H: 0.799 0.400 0.400
H: 0.201 0.600 0.600
H: 0.000 0.000 0.682
H: 0.400 0.400 0.400
H: 0.400 0.400 0.799
H: 0.318 0.682 0.000
H: 0.600 0.600 0.201
H: 0.682 0.000 0.000
H: 0.318 0.000 0.000
H: 0.600 0.201 0.600
H: 0.600 0.600 0.600
Co: 0.266 0.734 0.266
Co: 0.734 0.266 0.266
Co: 0.266 0.734 0.734
Co: 0.734 0.734 0.266
Co: 0.734 0.266 0.734
Co: 0.266 0.266 0.734
La: 0.750 0.750 0.750
La: 0.250 0.250 0.250

Record 7
ZnMoBr after structural relaxation, computed with PBE-GGA.

Results
The value obtained for the energy above the most stable polymorph in this dataset is 43.9 kJ/mol of atoms. The total magnetization is 0.9 μB/cell. Its uncorrected formation energy is 0.515 eV per atom.

abc: 7.604 7.232 3.210
angles: 84.08 71.09 24.83
Site moments in Bohr magnetons follow the coordinates.
Positions (direct):
Br: 0.021 0.021 0.979  0.01
Mo: 0.665 0.665 0.335  0.81
Zn: 0.313 0.313 0.687  -0.01

Record 8
K2YTa after structural relaxation, computed with PBE-GGA.

Results
The value obtained for the energy above the most stable polymorph in this dataset is 39.2 kJ/mol of atoms. The total magnetization is 1.0 μB/cell. The energy of formation is 1092.6 meV/atom.

abc: 6.840 3.184 5.821
angles: 89.00 90.00 90.00
Site moments in Bohr magnetons follow the coordinates.
Positions (direct):
K: 0.000 0.515 0.490  0.01
K: 0.000 0.985 0.010  0.01
Y: 0.500 0.750 0.750  0.05
Ta: 0.500 0.250 0.250  0.46

Record 9
DyY14Tm after structural relaxation, computed with PBE-GGA.

Results
The total magnetization is 0.0 μB/cell. The energy of formation is 22.4 meV/atom.

abc: 7.133 7.133 10.056
angles: 90.00 90.00 90.00
Positions (direct):
Y: 0.375 0.625 0.500
Y: 0.625 0.875 0.751
Y: 0.625 0.375 0.249
Y: 0.375 0.125 0.000
Y: 0.125 0.875 0.249
Y: 0.625 0.375 0.751
Y: 0.875 0.625 0.500
Y: 0.875 0.625 0.000
Y: 0.125 0.875 0.751
Y: 0.125 0.375 0.751
Y: 0.625 0.875 0.249
Y: 0.125 0.375 0.249
Y: 0.875 0.125 0.500
Y: 0.375 0.125 0.500
Dy: 0.875 0.125 0.000
Tm: 0.375 0.625 0.000

Record 10
TeMoWSe2S after structural relaxation, computed with PBE-GGA.

Results
The value obtained for the energy above the most stable polymorph in this dataset is 1.5 kJ/mol of atoms. The total magnetization is 0.0 μB/cell. Its uncorrected formation energy is -0.531 eV per atom.

abc: 3.342 3.342 34.662
angles: 90.00 90.00 120.00
Positions (direct):
S: 0.000 0.000 0.311
S: 0.000 0.000 0.224
Se: 0.000 0.000 0.745
Se: 0.333 0.667 0.111
Se: 0.333 0.667 0.014
Se: 0.000 0.000 0.648
Te: 0.333 0.667 0.531
Te: 0.333 0.667 0.422
Mo: 0.333 0.667 0.268
Mo: 0.000 0.000 0.476
W: 0.333 0.667 0.697
W: 0.000 0.000 0.062

Record 11
TlCuBr2 after structural relaxation, computed with PBE-GGA.

Results
The value obtained for the energy above the most stable polymorph in this dataset is 65.1 kJ/mol of atoms. The total magnetization is 0.0 μB/cell. Its uncorrected formation energy is 0.133 eV per atom.

abc: 5.295 5.295 5.295
angles: 60.00 60.00 60.00
Positions (direct):
Tl: 0.750 0.750 0.750
Br: 0.000 0.000 0.000
Br: 0.250 0.250 0.250
Cu: 0.500 0.500 0.500

Record 12
SmDy2Y3 after structural relaxation, computed with PBE-GGA.

Results
The value obtained for the energy above the most stable polymorph in this dataset is 0.0 kJ/mol of atoms. The total magnetization is 0.0 μB/cell. The energy of formation is 67.1 meV/atom.

abc: 6.651 6.651 8.962
angles: 81.63 81.63 94.99
Positions (direct):
Dy: 0.874 0.376 0.376
Dy: 0.624 0.126 0.124
Dy: 0.126 0.624 0.624
Dy: 0.376 0.874 0.876
Y: 0.428 0.572 0.250
Y: 0.158 0.322 0.008
Y: 0.322 0.158 0.508
Y: 0.572 0.428 0.750
Y: 0.678 0.842 0.492
Y: 0.842 0.678 0.992
Sm: 0.098 0.902 0.250
Sm: 0.902 0.098 0.750